## BaCaH2 (GGA-PBE)

Data for a relaxed structure of BaCaH2.

Cell and atoms, written as POSCAR:
```
BaCaH2
1.0
1.926 1.112 7.126
-1.926 1.112 7.126
0.000 -2.223 7.126
Ba Ca H
1 1 2
direct
0.000 0.000 0.000 Ba
0.500 0.500 0.500 Ca
0.125 0.125 0.125 H
0.875 0.875 0.875 H
```

Output
DOS at the Fermi energy	1.941	states/eV/cell
E above lowest polymorph	0.112	eV per atom
SG	R-3m, No. 166
theoretical density	3.3	g cm⁻³



## Ba2CaH4 (GGA-PBE)

Data for a relaxed structure of Ba2CaH4.

Cell and atoms, written as POSCAR:
```
Ba2CaH4
1.0
-2.196 2.196 7.257
2.196 -2.196 7.257
2.196 2.196 -7.257
Ba Ca H
2 1 4
direct
0.155 0.155 0.000 Ba
0.845 0.845 0.000 Ba
0.500 0.500 0.000 Ca
0.000 0.500 0.500 H
0.341 0.341 0.000 H
0.500 0.000 0.500 H
0.659 0.659 0.000 H
```

Output
E_tot	-3.110	eV/atom
DOS at the Fermi energy	3.250	states/eV/cell
SG	I4/mmm, No. 139
theoretical density	3.8	g cm⁻³



## Ba12Ca3H5 (GGA-PBE)

Data for a relaxed structure of Ba12Ca3H5.

Cell and atoms, written as POSCAR:
```
Ba12Ca3H5
1.0
-9.561 9.561 9.561
9.561 -9.561 9.561
9.561 9.561 -9.561
Ba Ca H
48 12 20
direct
0.003 0.196 0.104 Ba
0.003 0.307 0.899 Ba
0.092 0.696 0.693 Ba
0.092 0.896 0.399 Ba
0.101 0.604 0.408 Ba
0.101 0.997 0.693 Ba
0.104 0.003 0.196 Ba
0.104 0.601 0.908 Ba
0.193 0.196 0.592 Ba
0.193 0.497 0.601 Ba
0.196 0.104 0.003 Ba
0.196 0.592 0.193 Ba
0.304 0.307 0.908 Ba
0.304 0.497 0.396 Ba
0.307 0.899 0.003 Ba
0.307 0.908 0.304 Ba
0.396 0.304 0.497 Ba
0.396 0.592 0.899 Ba
0.399 0.092 0.896 Ba
0.399 0.807 0.503 Ba
0.408 0.101 0.604 Ba
0.408 0.807 0.804 Ba
0.497 0.396 0.304 Ba
0.497 0.601 0.193 Ba
0.503 0.399 0.807 Ba
0.503 0.604 0.696 Ba
0.592 0.193 0.196 Ba
0.592 0.899 0.396 Ba
0.601 0.193 0.497 Ba
0.601 0.908 0.104 Ba
0.604 0.408 0.101 Ba
0.604 0.696 0.503 Ba
0.693 0.092 0.696 Ba
0.693 0.101 0.997 Ba
0.696 0.503 0.604 Ba
0.696 0.693 0.092 Ba
0.804 0.408 0.807 Ba
0.804 0.896 0.997 Ba
0.807 0.503 0.399 Ba
0.807 0.804 0.408 Ba
0.896 0.399 0.092 Ba
0.896 0.997 0.804 Ba
0.899 0.003 0.307 Ba
0.899 0.396 0.592 Ba
0.908 0.104 0.601 Ba
0.908 0.304 0.307 Ba
0.997 0.693 0.101 Ba
0.997 0.804 0.896 Ba
0.125 0.250 0.375 Ca
0.125 0.375 0.750 Ca
0.250 0.375 0.125 Ca
0.250 0.875 0.625 Ca
0.375 0.125 0.250 Ca
0.375 0.750 0.125 Ca
0.625 0.250 0.875 Ca
0.625 0.875 0.750 Ca
0.750 0.125 0.375 Ca
0.750 0.625 0.875 Ca
0.875 0.625 0.250 Ca
0.875 0.750 0.625 Ca
0.000 0.000 0.000 H
0.000 0.000 0.500 H
0.000 0.500 0.000 H
0.000 0.500 0.500 H
0.125 0.750 0.875 H
0.125 0.875 0.250 H
0.250 0.125 0.875 H
0.250 0.625 0.375 H
0.375 0.250 0.625 H
0.375 0.625 0.750 H
0.500 0.000 0.000 H
0.500 0.000 0.500 H
0.500 0.500 0.000 H
0.500 0.500 0.500 H
0.625 0.375 0.250 H
0.625 0.750 0.375 H
0.750 0.375 0.625 H
0.750 0.875 0.125 H
0.875 0.125 0.750 H
0.875 0.250 0.125 H
```

Output
E_tot	-2.364	eV/atom
DOS at the Fermi energy	97.423	states/eV/cell
SG	Ia-3d, No. 230
theoretical density	3.4	g cm⁻³



## Ba4CaH10 (GGA-PBE)

Data for a relaxed structure of Ba4CaH10.

Cell and atoms, written as POSCAR:
```
Ba4CaH10
1.0
2.184 1.261 17.658
-2.184 1.261 17.658
0.000 -2.521 17.658
Ba Ca H
4 1 10
direct
0.105 0.105 0.105 Ba
0.298 0.298 0.298 Ba
0.702 0.702 0.702 Ba
0.895 0.895 0.895 Ba
0.500 0.500 0.500 Ca
0.053 0.053 0.053 H
0.155 0.155 0.155 H
0.246 0.246 0.246 H
0.350 0.350 0.350 H
0.457 0.457 0.457 H
0.543 0.543 0.543 H
0.650 0.650 0.650 H
0.754 0.754 0.754 H
0.845 0.845 0.845 H
0.947 0.947 0.947 H
```

Output
E_tot	-3.352	eV/atom
SG	R-3m, No. 166
theoretical density	3.4	g cm⁻³



## BaCaH2 (GGA-PBE)

Data for a relaxed structure of BaCaH2.

Cell and atoms, written as POSCAR:
```
BaCaH2
1.0
7.497 -2.158 0.000
7.497 2.158 0.000
-0.246 0.000 6.488
Ba Ca H
2 2 4
direct
0.160 0.160 0.295 Ba
0.840 0.840 0.705 Ba
0.426 0.426 0.217 Ca
0.574 0.574 0.783 Ca
0.324 0.324 0.466 H
0.427 0.427 0.867 H
0.573 0.573 0.133 H
0.676 0.676 0.534 H
```

Output
DOS at the Fermi energy	2.891	states/eV/cell
E above lowest polymorph	0.018	eV per atom
SG	C2/m, No. 12
theoretical density	2.8	g cm⁻³



## Ba2CaH (GGA-PBE)

Data for a relaxed structure of Ba2CaH.

Cell and atoms, written as POSCAR:
```
Ba2CaH
1.0
3.829 0.000 0.000
0.000 3.829 0.000
0.000 0.000 10.236
Ba Ca H
2 1 1
direct
0.000 0.000 0.181 Ba
0.000 0.000 0.819 Ba
0.500 0.500 0.500 Ca
0.500 0.500 0.000 H
```

Output
DOS at the Fermi energy	4.810	states/eV/cell
E above lowest polymorph	0.162	eV per atom
SG	P4/mmm, No. 123
theoretical density	3.5	g cm⁻³



## BaCaH (GGA-PBE)

Data for a relaxed structure of BaCaH.

Cell and atoms, written as POSCAR:
```
BaCaH
1.0
6.907 -1.860 0.000
6.907 1.860 0.000
-6.143 0.000 7.389
Ba Ca H
2 2 2
direct
0.000 0.000 0.000 Ba
0.633 0.633 0.706 Ba
0.265 0.265 0.469 Ca
0.840 0.840 0.210 Ca
0.329 0.329 0.977 H
0.680 0.680 0.254 H
```

Output
DOS at the Fermi energy	5.234	states/eV/cell
E above lowest polymorph	0.018	eV per atom
SG	Cm, No. 8
theoretical density	3.1	g cm⁻³



## Ba2CaH6 (GGA-PBE)

Data for a relaxed structure of Ba2CaH6.

Cell and atoms, written as POSCAR:
```
Ba2CaH6
1.0
-2.133 3.029 6.314
2.133 -3.029 6.314
2.133 3.029 -6.314
Ba Ca H
2 1 6
direct
0.163 0.163 0.000 Ba
0.837 0.837 0.000 Ba
0.500 0.500 0.000 Ca
0.113 0.347 0.766 H
0.280 0.000 0.280 H
0.418 0.653 0.766 H
0.582 0.347 0.234 H
0.720 0.000 0.720 H
0.887 0.653 0.234 H
```

Output
E_tot	-3.359	eV/atom
SG	Immm, No. 71
theoretical density	3.3	g cm⁻³



## BaCaH2 (GGA-PBE)

Data for a relaxed structure of BaCaH2.

Cell and atoms, written as POSCAR:
```
BaCaH2
1.0
1.893 1.093 6.729
-1.893 1.093 6.729
0.000 -2.186 6.729
Ba Ca H
1 1 2
direct
0.000 0.000 0.000 Ba
0.175 0.175 0.175 Ca
0.567 0.567 0.567 H
0.785 0.785 0.785 H
```

Output
DOS at the Fermi energy	1.841	states/eV/cell
E above lowest polymorph	0.204	eV per atom
SG	R3m, No. 160
theoretical density	3.6	g cm⁻³



## BaCaH (GGA-PBE)

Data for a relaxed structure of BaCaH.

Cell and atoms, written as POSCAR:
```
BaCaH
1.0
-1.920 1.920 6.850
1.920 -1.920 6.850
1.920 1.920 -6.850
Ba Ca H
1 1 1
direct
0.000 0.000 0.000 Ba
0.284 0.284 0.000 Ca
0.460 0.460 0.000 H
```

Output
DOS at the Fermi energy	2.751	states/eV/cell
E above lowest polymorph	0.039	eV per atom
SG	I4mm, No. 107
theoretical density	2.9	g cm⁻³



## Ba3Ca5H12 (GGA-PBE)

Data for a relaxed structure of Ba3Ca5H12.

Cell and atoms, written as POSCAR:
```
Ba3Ca5H12
1.0
-7.184 7.184 7.184
7.184 -7.184 7.184
7.184 7.184 -7.184
Ba Ca H
12 20 48
direct
0.125 0.250 0.375 Ba
0.125 0.375 0.750 Ba
0.250 0.375 0.125 Ba
0.250 0.875 0.625 Ba
0.375 0.125 0.250 Ba
0.375 0.750 0.125 Ba
0.625 0.250 0.875 Ba
0.625 0.875 0.750 Ba
0.750 0.125 0.375 Ba
0.750 0.625 0.875 Ba
0.875 0.625 0.250 Ba
0.875 0.750 0.625 Ba
0.000 0.000 0.000 Ca
0.000 0.000 0.500 Ca
0.000 0.500 0.000 Ca
0.000 0.500 0.500 Ca
0.125 0.750 0.875 Ca
0.125 0.875 0.250 Ca
0.250 0.125 0.875 Ca
0.250 0.625 0.375 Ca
0.375 0.250 0.625 Ca
0.375 0.625 0.750 Ca
0.500 0.000 0.000 Ca
0.500 0.000 0.500 Ca
0.500 0.500 0.000 Ca
0.500 0.500 0.500 Ca
0.625 0.375 0.250 Ca
0.625 0.750 0.375 Ca
0.750 0.375 0.625 Ca
0.750 0.875 0.125 Ca
0.875 0.125 0.750 Ca
0.875 0.250 0.125 Ca
0.036 0.208 0.125 H
0.036 0.328 0.912 H
0.084 0.708 0.672 H
0.084 0.875 0.412 H
0.088 0.625 0.416 H
0.088 0.964 0.672 H
0.125 0.036 0.208 H
0.125 0.588 0.916 H
0.172 0.208 0.584 H
0.172 0.464 0.588 H
0.208 0.125 0.036 H
0.208 0.584 0.172 H
0.292 0.328 0.916 H
0.292 0.464 0.375 H
0.328 0.912 0.036 H
0.328 0.916 0.292 H
0.375 0.292 0.464 H
0.375 0.584 0.912 H
0.412 0.084 0.875 H
0.412 0.828 0.536 H
0.416 0.088 0.625 H
0.416 0.828 0.792 H
0.464 0.375 0.292 H
0.464 0.588 0.172 H
0.536 0.412 0.828 H
0.536 0.625 0.708 H
0.584 0.172 0.208 H
0.584 0.912 0.375 H
0.588 0.172 0.464 H
0.588 0.916 0.125 H
0.625 0.416 0.088 H
0.625 0.708 0.536 H
0.672 0.084 0.708 H
0.672 0.088 0.964 H
0.708 0.536 0.625 H
0.708 0.672 0.084 H
0.792 0.416 0.828 H
0.792 0.875 0.964 H
0.828 0.536 0.412 H
0.828 0.792 0.416 H
0.875 0.412 0.084 H
0.875 0.964 0.792 H
0.912 0.036 0.328 H
0.912 0.375 0.584 H
0.916 0.125 0.588 H
0.916 0.292 0.328 H
0.964 0.672 0.088 H
0.964 0.792 0.875 H
```

Output
E_tot	-3.198	eV/atom
DOS at the Fermi energy	29.916	states/eV/cell
SG	Ia-3d, No. 230
theoretical density	2.8	g cm⁻³



## BaCaH2 (GGA-PBE)

Data for a relaxed structure of BaCaH2.

Cell and atoms, written as POSCAR:
```
BaCaH2
1.0
4.099 0.000 0.000
0.000 4.099 0.000
0.000 0.000 6.290
Ba Ca H
1 1 2
direct
0.000 0.000 0.000 Ba
0.500 0.500 0.435 Ca
0.000 0.500 0.260 H
0.500 0.000 0.260 H
```

Output
DOS at the Fermi energy	2.441	states/eV/cell
E above lowest polymorph	0.004	eV per atom
SG	P4mm, No. 99
theoretical density	2.8	g cm⁻³



Copy entry 12 word for word.
## BaCaH2 (GGA-PBE)

Data for a relaxed structure of BaCaH2.

Cell and atoms, written as POSCAR:
```
BaCaH2
1.0
4.099 0.000 0.000
0.000 4.099 0.000
0.000 0.000 6.290
Ba Ca H
1 1 2
direct
0.000 0.000 0.000 Ba
0.500 0.500 0.435 Ca
0.000 0.500 0.260 H
0.500 0.000 0.260 H
```

Output
DOS at the Fermi energy	2.441	states/eV/cell
E above lowest polymorph	0.004	eV per atom
SG	P4mm, No. 99
theoretical density	2.8	g cm⁻³



Q: Look up the theoretical density of the seventh one.
A: 3.1 g cm⁻³